# La2MgSb (PBE-GGA, optimized geometry)
# Energy relative to the lowest polymorph listed for this composition (meV per atom): 285.9
# Energy (eV per atom): -4.22
# Energy relative to the elements, uncorrected (eV per atom): -0.33
data_La2MgSb
_cell_length_a 8.822
_cell_length_b 8.822
_cell_length_c 6.875
_cell_angle_alpha 90.00
_cell_angle_beta 90.00
_cell_angle_gamma 90.00
_symmetry_space_group_name_H-M 'I -4 2 d'
_symmetry_Int_Tables_number 122
_symmetry_space_group_name_Hall 'I -4 2bw'
loop_
_atom_site_label
_atom_site_type_symbol
_atom_site_fract_x
_atom_site_fract_y
_atom_site_fract_z
_atom_site_occupancy
La1 La 0.236 0.250 0.125 1
Mg1 Mg 0.000 0.000 0.500 1
Sb1 Sb 0.000 0.000 0.000 1

# LaMgSb2 (PBE-GGA, optimized geometry)
# Energy (eV per atom): -4.26
# Energy relative to the elements, uncorrected (eV per atom): -0.57
data_LaMgSb2
_cell_length_a 4.407
_cell_length_b 4.448
_cell_length_c 6.402
_cell_angle_alpha 90.00
_cell_angle_beta 90.00
_cell_angle_gamma 90.00
_symmetry_space_group_name_H-M 'P m m 2'
_symmetry_Int_Tables_number 25
loop_
_symmetry_equiv_pos_as_xyz
'x,y,z'
'-x,-y,z'
'-x,y,z'
'x,-y,z'
loop_
_atom_site_label
_atom_site_type_symbol
_atom_site_fract_x
_atom_site_fract_y
_atom_site_fract_z
_atom_site_occupancy
La1 La 0.000 0.000 0.000 1
Mg1 Mg 0.500 0.500 0.402 1
Sb1 Sb 0.000 0.000 0.489 1
Sb2 Sb 0.500 0.500 0.900 1

# LaMg4Sb (PBE-GGA, optimized geometry)
# Energy (eV per atom): -2.65
# Energy relative to the elements, uncorrected (eV per atom): -0.08
data_LaMg4Sb
_cell_length_a 8.566
_cell_length_b 8.566
_cell_length_c 8.566
_cell_angle_alpha 90.00
_cell_angle_beta 90.00
_cell_angle_gamma 90.00
_symmetry_space_group_name_H-M 'F -4 3 m'
_symmetry_Int_Tables_number 216
_symmetry_space_group_name_Hall 'F -4 2 3'
loop_
_atom_site_label
_atom_site_type_symbol
_atom_site_fract_x
_atom_site_fract_y
_atom_site_fract_z
_atom_site_occupancy
La1 La 0.000 0.000 0.000 1
Mg1 Mg 0.125 0.125 0.625 1
Sb1 Sb 0.250 0.250 0.250 1

# LaMg14Sb (PBE-GGA, optimized geometry)
# Energy relative to the lowest polymorph listed for this composition (meV per atom): 0.0
# Energy (eV per atom): -2.03
# Energy relative to the elements, uncorrected (eV per atom): -0.07
data_LaMg14Sb
_cell_length_a 10.617
_cell_length_b 6.409
_cell_length_c 11.447
_cell_angle_alpha 90.00
_cell_angle_beta 90.00
_cell_angle_gamma 90.00
_symmetry_space_group_name_H-M 'A m m 2'
_symmetry_Int_Tables_number 38
loop_
_symmetry_equiv_pos_as_xyz
'x,y,z'
'-x,-y,z'
'-x,y,z'
'x,-y,z'
'x,y+1/2,z+1/2'
'-x,-y+1/2,z+1/2'
'-x,y+1/2,z+1/2'
'x,-y+1/2,z+1/2'
loop_
_atom_site_label
_atom_site_type_symbol
_atom_site_fract_x
_atom_site_fract_y
_atom_site_fract_z
_atom_site_occupancy
La1 La 0.000 0.000 0.000 1
Mg1 Mg 0.000 0.242 0.252 1
Mg2 Mg 0.241 0.000 0.668 1
Mg3 Mg 0.258 0.000 0.168 1
Mg4 Mg 0.261 0.250 0.414 1
Mg5 Mg 0.500 0.000 0.002 1
Mg6 Mg 0.500 0.000 0.504 1
Mg7 Mg 0.500 0.247 0.750 1
Sb1 Sb 0.000 0.000 0.496 1

# La2MgSb (PBE-GGA, optimized geometry)
# Energy relative to the lowest polymorph listed for this composition (meV per atom): 454.7
# Energy (eV per atom): -4.05
# Energy relative to the elements, uncorrected (eV per atom): -0.16
data_La2MgSb
_cell_length_a 7.786
_cell_length_b 7.786
_cell_length_c 7.786
_cell_angle_alpha 90.00
_cell_angle_beta 90.00
_cell_angle_gamma 90.00
_symmetry_space_group_name_H-M 'F -4 3 m'
_symmetry_Int_Tables_number 216
_symmetry_space_group_name_Hall 'F -4 2 3'
loop_
_atom_site_label
_atom_site_type_symbol
_atom_site_fract_x
_atom_site_fract_y
_atom_site_fract_z
_atom_site_occupancy
La1 La 0.000 0.000 0.000 1
La2 La 0.250 0.250 0.250 1
Mg1 Mg 0.250 0.250 0.750 1
Sb1 Sb 0.000 0.000 0.500 1

# LaMgSbTe2 (PBE-GGA, optimized geometry)
# Energy relative to the lowest polymorph listed for this composition (meV per atom): 0.0
# Energy (eV per atom): -3.80
# Energy relative to the elements, uncorrected (eV per atom): -0.41
data_LaMgSbTe2
_cell_length_a 5.498
_cell_length_b 5.498
_cell_length_c 5.300
_cell_angle_alpha 90.00
_cell_angle_beta 90.00
_cell_angle_gamma 90.00
_symmetry_space_group_name_H-M 'P 4/m m m'
_symmetry_Int_Tables_number 123
_symmetry_space_group_name_Hall '-P 4 2'
loop_
_atom_site_label
_atom_site_type_symbol
_atom_site_fract_x
_atom_site_fract_y
_atom_site_fract_z
_atom_site_occupancy
La1 La 0.000 0.000 0.000 1
Mg1 Mg 0.500 0.500 0.500 1
Sb1 Sb 0.500 0.500 0.000 1
Te1 Te 0.000 0.500 0.500 1

# LaMgSbTe2 (PBE-GGA, optimized geometry)
# Energy relative to the lowest polymorph listed for this composition (meV per atom): 466.4
# Energy (eV per atom): -3.33
# Energy relative to the elements, uncorrected (eV per atom): 0.06
data_LaMgSbTe2
_cell_length_a 6.085
_cell_length_b 6.085
_cell_length_c 6.130
_cell_angle_alpha 90.00
_cell_angle_beta 90.00
_cell_angle_gamma 90.00
_symmetry_space_group_name_H-M 'P 4/m m m'
_symmetry_Int_Tables_number 123
_symmetry_space_group_name_Hall '-P 4 2'
loop_
_atom_site_label
_atom_site_type_symbol
_atom_site_fract_x
_atom_site_fract_y
_atom_site_fract_z
_atom_site_occupancy
La1 La 0.000 0.000 0.000 1
Mg1 Mg 0.500 0.500 0.500 1
Sb1 Sb 0.000 0.000 0.500 1
Te1 Te 0.000 0.500 0.000 1

# La2YMgSb (PBE-GGA, optimized geometry)
# Energy (eV per atom): -4.05
# Energy relative to the elements, uncorrected (eV per atom): 0.35
data_La2YMgSb
_cell_length_a 5.787
_cell_length_b 5.787
_cell_length_c 5.257
_cell_angle_alpha 90.00
_cell_angle_beta 90.00
_cell_angle_gamma 90.00
_symmetry_space_group_name_H-M 'P 4/m m m'
_symmetry_Int_Tables_number 123
_symmetry_space_group_name_Hall '-P 4 2'
loop_
_atom_site_label
_atom_site_type_symbol
_atom_site_fract_x
_atom_site_fract_y
_atom_site_fract_z
_atom_site_occupancy
La1 La 0.000 0.500 0.000 1
Y1 Y 0.000 0.000 0.500 1
Mg1 Mg 0.500 0.500 0.000 1
Sb1 Sb 0.500 0.500 0.500 1

# LaMg2Sc2 (PBE-GGA, optimized geometry)
# Energy relative to the lowest polymorph listed for this composition (meV per atom): 166.5
# Energy (eV per atom): -3.97
data_LaMg2Sc2
_cell_length_a 4.407
_cell_length_b 4.407
_cell_length_c 14.744
_cell_angle_alpha 90.00
_cell_angle_beta 90.00
_cell_angle_gamma 90.00
_symmetry_space_group_name_H-M 'I 4/m m m'
_symmetry_Int_Tables_number 139
_symmetry_space_group_name_Hall '-I 4 2'
loop_
_atom_site_label
_atom_site_type_symbol
_atom_site_fract_x
_atom_site_fract_y
_atom_site_fract_z
_atom_site_occupancy
La1 La 0.000 0.000 0.000 1
Mg1 Mg 0.000 0.000 0.399 1
Sc1 Sc 0.000 0.500 0.250 1

# La4Mg3Sc (PBE-GGA, optimized geometry)
# Energy (eV per atom): -3.91
data_La4Mg3Sc
_cell_length_a 3.928
_cell_length_b 3.928
_cell_length_c 16.150
_cell_angle_alpha 90.00
_cell_angle_beta 90.00
_cell_angle_gamma 90.00
_symmetry_space_group_name_H-M 'P 4/m m m'
_symmetry_Int_Tables_number 123
_symmetry_space_group_name_Hall '-P 4 2'
loop_
_atom_site_label
_atom_site_type_symbol
_atom_site_fract_x
_atom_site_fract_y
_atom_site_fract_z
_atom_site_occupancy
La1 La 0.000 0.000 0.124 1
La2 La 0.000 0.000 0.372 1
Mg1 Mg 0.500 0.500 0.000 1
Mg2 Mg 0.500 0.500 0.249 1
Sc1 Sc 0.500 0.500 0.500 1

# LaMgSc (PBE-GGA, optimized geometry)
# Energy relative to the lowest polymorph listed for this composition (meV per atom): 52.7
# Energy (eV per atom): -4.24
data_LaMgSc
_cell_length_a 5.483
_cell_length_b 6.246
_cell_length_c 6.372
_cell_angle_alpha 63.42
_cell_angle_beta 64.59
_cell_angle_gamma 63.98
_symmetry_space_group_name_H-M 'P 1'
_symmetry_Int_Tables_number 1
loop_
_symmetry_equiv_pos_as_xyz
'x,y,z'
loop_
_atom_site_label
_atom_site_type_symbol
_atom_site_fract_x
_atom_site_fract_y
_atom_site_fract_z
_atom_site_occupancy
La1 La 0.000 0.000 0.000 1
La2 La 0.291 0.365 0.055 1
Mg1 Mg 0.644 0.183 0.527 1
Mg2 Mg 0.646 0.683 0.027 1
Sc1 Sc 0.339 0.825 0.493 1
Sc2 Sc 0.948 0.539 0.561 1

# La7Mg2Sc2 (PBE-GGA, optimized geometry)
# Energy (eV per atom): -4.32
data_La7Mg2Sc2
_cell_length_a 6.602
_cell_length_b 12.009
_cell_length_c 9.507
_cell_angle_alpha 90.00
_cell_angle_beta 90.00
_cell_angle_gamma 90.00
_symmetry_space_group_name_H-M 'C m m m'
_symmetry_Int_Tables_number 65
_symmetry_space_group_name_Hall '-C 2 2'
loop_
_atom_site_label
_atom_site_type_symbol
_atom_site_fract_x
_atom_site_fract_y
_atom_site_fract_z
_atom_site_occupancy
La1 La 0.000 0.000 0.000 1
La2 La 0.000 0.500 0.177 1
La3 La 0.250 0.250 0.316 1
Mg1 Mg 0.236 0.000 0.500 1
Sc1 Sc 0.000 0.270 0.000 1